First-principles (PBE) data for crystalline K3RhCl8 at its relaxed geometry, as listed in Alexandria via LeMat-Bulk.

CIF file:
```
data_K3RhCl8
_chemical_formula_sum 'K6 Rh2 Cl16'
_cell_length_a 7.165
_cell_length_b 7.165
_cell_length_c 13.254
_cell_angle_alpha 90.00
_cell_angle_beta 90.00
_cell_angle_gamma 90.00
_space_group_name_H-M_alt 'I 4/m m m'
_space_group_IT_number 139
_space_group_name_Hall '-I 4 2'
loop_
_atom_site_label
_atom_site_fract_x
_atom_site_fract_y
_atom_site_fract_z
K1 0.000 0.000 0.000
K2 0.000 0.500 0.250
Rh1 0.000 0.000 0.500
Cl1 0.208 0.208 0.389
```

Computed properties:
DOS at the Fermi energy, states/eV/f.u.: 0.79
E, eV per atom: -3.0141